Below is Ba2ScTa after structural relaxation, with properties calculated at the PBE level.

Structure (extended XYZ):
```
4
Lattice="-1.768 2.302 9.603 1.768 -2.302 9.603 1.768 2.302 -9.603" Properties=species:S:1:pos:R:3 pbc="T T T"
Ba 0.000 0.000 2.986
Ba 0.000 0.000 16.221
Sc 0.000 2.302 0.000
Ta 1.768 0.000 0.000
```

Summary:
The total energy comes out at -4.77 eV per atom. The volume comes out at 156 Å³ per cell. The density of states at the Fermi level comes out at 1.63 states/eV/atom. As for the space-group type: Immm. For the energy relative to the lowest polymorph listed for this composition, the calculation gives 133 meV per atom. For the formation energy from the elements, the calculation gives 0.735 eV/atom.